Computed, not measured: an optimized crystal structure of PuUCuTc at the PBE-GGA level of DFT.

a b c (Å): 6.7759 6.7759 6.7759
angles (deg): 90.00 90.00 90.00
Last column: nearest neighbours and their distance in Å.
Fractional coordinates of all 16 atoms:
Pu 0.0000 0.0000 0.0000  4 Tc 2.93, 4 Cu 2.93
Pu 0.0000 0.5000 0.5000  4 Cu 2.93, 4 Tc 2.93
Pu 0.5000 0.0000 0.5000  4 Cu 2.93, 4 Tc 2.93
Pu 0.5000 0.5000 0.0000  4 Tc 2.93, 4 Cu 2.93
U 0.0000 0.0000 0.5000  4 Tc 2.93, 4 Cu 2.93
U 0.0000 0.5000 0.0000  4 Tc 2.93, 4 Cu 2.93
U 0.5000 0.0000 0.0000  4 Tc 2.93, 4 Cu 2.93
U 0.5000 0.5000 0.5000  4 Tc 2.93, 4 Cu 2.93
Cu 0.2500 0.2500 0.7500  4 U 2.93, 4 Pu 2.93
Cu 0.2500 0.7500 0.2500  4 U 2.93, 4 Pu 2.93
Cu 0.7500 0.2500 0.2500  4 U 2.93, 4 Pu 2.93
Cu 0.7500 0.7500 0.7500  4 U 2.93, 4 Pu 2.93
Tc 0.2500 0.2500 0.2500  4 U 2.93, 4 Pu 2.93
Tc 0.2500 0.7500 0.7500  4 U 2.93, 4 Pu 2.93
Tc 0.7500 0.2500 0.7500  4 U 2.93, 4 Pu 2.93
Tc 0.7500 0.7500 0.2500  4 U 2.93, 4 Pu 2.93

Summary:
- energy above the most stable polymorph in this dataset (meV/atom) = 234.4
- DFT formation energy (eV per atom) = 0.183
- crystal system = cubic